Material: Sc3NiF
Method: DFT, PBE with a Hubbard U
State: relaxed

a = 4.376 Å, b = 4.376 Å, c = 4.376 Å
α = 90.00°, β = 90.00°, γ = 90.00°
Fractional positions:
Sc: 0.000 0.000 0.500
Sc: 0.000 0.500 0.000
Sc: 0.500 0.000 0.000
Ni: 0.500 0.500 0.500
F: 0.000 0.000 0.000

SG: Pm-3m, No. 221
Offset from the most stable computed form: 0 meV per atom